(1)
Density functional theory data (meta-GGA SCAN) for a crystal of BaPbSeN2 relaxed with PBEsol.

Cell and atoms, written as CIF:
```
data_BaPbSeN2
_chemical_formula_sum 'Ba1 Pb1 Se1 N2'
_cell_length_a 4.6029
_cell_length_b 4.6029
_cell_length_c 6.3595
_cell_angle_alpha 90.00
_cell_angle_beta 90.00
_cell_angle_gamma 90.00
_symmetry_space_group_name_H-M 'P 1'
_symmetry_Int_Tables_number 1
_symmetry_space_group_name_Hall 'P 1'
loop_
_atom_site_label
_atom_site_fract_x
_atom_site_fract_y
_atom_site_fract_z
Pb1 0.5000 0.5000 0.5000
Ba1 0.0000 0.0000 0.0000
Se1 0.0000 0.0000 0.5000
N1 0.0000 0.5000 0.0000
N2 0.5000 0.0000 0.0000
```

## Properties
- E_form (uncorrected): 1.192 eV per atom
- Raw total energy: -148.03 eV per formula unit

=====

(2)
Density functional theory data (meta-GGA SCAN) for a crystal of CaP2Cl relaxed with PBEsol.

Cell and atoms, written as CIF:
```
data_CaP2Cl
_chemical_formula_sum 'Ca1 P2 Cl1'
_cell_length_a 3.6262
_cell_length_b 3.6262
_cell_length_c 6.6195
_cell_angle_alpha 105.82
_cell_angle_beta 105.82
_cell_angle_gamma 90.26
_symmetry_space_group_name_H-M 'P 1'
_symmetry_Int_Tables_number 1
_symmetry_space_group_name_Hall 'P 1'
loop_
_atom_site_label
_atom_site_fract_x
_atom_site_fract_y
_atom_site_fract_z
Ca1 0.0000 0.0000 0.0000
Cl1 0.5000 0.5000 0.0000
P1 0.5000 0.0000 0.5000
P2 0.0000 0.5000 0.5000
```

## Properties
- E_form (uncorrected): -0.735 eV per atom
- Relative energy among the computed polymorphs: 0.00 eV/f.u.
- Raw total energy: -41.38 eV per formula unit

=====

(3)
Density functional theory data (meta-GGA SCAN) for a crystal of Cu2SbW relaxed with PBEsol.

Cell and atoms, written as CIF:
```
data_Cu2SbW
_chemical_formula_sum 'Cu2 Sb1 W1'
_cell_length_a 3.3828
_cell_length_b 3.3828
_cell_length_c 5.3638
_cell_angle_alpha 90.00
_cell_angle_beta 90.00
_cell_angle_gamma 90.00
_symmetry_space_group_name_H-M 'P 1'
_symmetry_Int_Tables_number 1
_symmetry_space_group_name_Hall 'P 1'
loop_
_atom_site_label
_atom_site_fract_x
_atom_site_fract_y
_atom_site_fract_z
Cu1 0.0000 0.0000 0.7284
Cu2 0.0000 0.0000 0.2716
Sb1 0.5000 0.5000 0.0000
W1 0.5000 0.5000 0.5000
```

## Properties
- E_form (uncorrected): 0.599 eV per atom
- Raw total energy: -134.95 eV per formula unit

=====

(4)
Density functional theory data (meta-GGA SCAN) for a crystal of AlPCl3 relaxed with PBEsol.

Cell and atoms, written as CIF:
```
data_AlPCl3
_chemical_formula_sum 'Al1 P1 Cl3'
_cell_length_a 4.8704
_cell_length_b 4.8704
_cell_length_c 4.8704
_cell_angle_alpha 90.00
_cell_angle_beta 90.00
_cell_angle_gamma 90.00
_symmetry_space_group_name_H-M 'P 1'
_symmetry_Int_Tables_number 1
_symmetry_space_group_name_Hall 'P 1'
loop_
_atom_site_label
_atom_site_fract_x
_atom_site_fract_y
_atom_site_fract_z
P1 0.0000 0.0000 0.0000
Al1 0.5000 0.5000 0.5000
Cl1 0.0000 0.5000 0.0000
Cl2 0.0000 0.0000 0.5000
Cl3 0.5000 0.0000 0.0000
```

## Properties
- E_form (uncorrected): -0.077 eV per atom
- Raw total energy: -42.47 eV per formula unit

=====

(5)
Density functional theory data (meta-GGA SCAN) for a crystal of Ba2FeW relaxed with PBEsol.

Cell and atoms, written as CIF:
```
data_Ba2FeW
_chemical_formula_sum 'Ba2 Fe1 W1'
_cell_length_a 3.0834
_cell_length_b 3.0834
_cell_length_c 10.3943
_cell_angle_alpha 90.00
_cell_angle_beta 90.00
_cell_angle_gamma 90.00
_symmetry_space_group_name_H-M 'P 1'
_symmetry_Int_Tables_number 1
_symmetry_space_group_name_Hall 'P 1'
loop_
_atom_site_label
_atom_site_fract_x
_atom_site_fract_y
_atom_site_fract_z
Ba1 0.0000 0.0000 0.7573
Ba2 0.0000 0.0000 0.2427
Fe1 0.5000 0.5000 0.0000
W1 0.5000 0.5000 0.5000
```

## Properties
- Formation energy from the elements: 146.03 kJ/mol of atoms
- Relative energy among the computed polymorphs: 2.80 eV/f.u.
- Raw total energy: -160.86 eV per formula unit

=====

(6)
Density functional theory data (meta-GGA SCAN) for a crystal of ZnInRh relaxed with PBEsol.

Cell and atoms, written as CIF:
```
data_ZnInRh
_chemical_formula_sum 'Zn1 In1 Rh1'
_cell_length_a 3.0108
_cell_length_b 4.2832
_cell_length_c 4.2832
_cell_angle_alpha 120.00
_cell_angle_beta 90.00
_cell_angle_gamma 90.00
_symmetry_space_group_name_H-M 'P 1'
_symmetry_Int_Tables_number 1
_symmetry_space_group_name_Hall 'P 1'
loop_
_atom_site_label
_atom_site_fract_x
_atom_site_fract_y
_atom_site_fract_z
In1 0.0015 0.0000 0.0000
Rh1 0.5045 0.3333 0.6667
Zn1 0.4940 0.6667 0.3333
```

## Properties
- Formation energy from the elements: -24.71 kJ/mol of atoms
- Raw total energy: -81.44 eV per formula unit

=====

(7)
Density functional theory data (meta-GGA SCAN) for a crystal of TaTlMo2 relaxed with PBEsol.

Cell and atoms, written as CIF:
```
data_TaTlMo2
_chemical_formula_sum 'Ta1 Tl1 Mo2'
_cell_length_a 2.8646
_cell_length_b 4.3531
_cell_length_c 5.6934
_cell_angle_alpha 90.00
_cell_angle_beta 99.83
_cell_angle_gamma 90.00
_symmetry_space_group_name_H-M 'P 1'
_symmetry_Int_Tables_number 1
_symmetry_space_group_name_Hall 'P 1'
loop_
_atom_site_label
_atom_site_fract_x
_atom_site_fract_y
_atom_site_fract_z
Mo1 0.0667 0.0000 0.0313
Mo2 0.4777 0.5000 0.2438
Ta1 0.9407 0.0000 0.4722
Tl1 0.5150 0.5000 0.7527
```

## Properties
- Formation energy from the elements: 35.77 kJ/mol of atoms
- Relative energy among the computed polymorphs: 0.21 eV/f.u.
- Raw total energy: -207.23 eV per formula unit

=====

(8)
Density functional theory data (meta-GGA SCAN) for a crystal of Y2ZrCr relaxed with PBEsol.

Cell and atoms, written as CIF:
```
data_Y2ZrCr
_chemical_formula_sum 'Y2 Zr1 Cr1'
_cell_length_a 4.6007
_cell_length_b 4.5990
_cell_length_c 4.4739
_cell_angle_alpha 90.00
_cell_angle_beta 90.00
_cell_angle_gamma 90.00
_symmetry_space_group_name_H-M 'P 1'
_symmetry_Int_Tables_number 1
_symmetry_space_group_name_Hall 'P 1'
loop_
_atom_site_label
_atom_site_fract_x
_atom_site_fract_y
_atom_site_fract_z
Cr1 0.0000 0.5000 0.5000
Y1 0.0000 0.0000 0.0000
Y2 0.5000 0.5000 0.0000
Zr1 0.5000 0.0000 0.5000
```

## Properties
- Formation energy from the elements: 20.91 kJ/mol of atoms
- Raw total energy: -103.90 eV per formula unit

=====

(9)
Density functional theory data (meta-GGA SCAN) for a crystal of MgTi5 relaxed with PBEsol.

Cell and atoms, written as CIF:
```
data_MgTi5
_chemical_formula_sum 'Mg1 Ti5'
_cell_length_a 2.8511
_cell_length_b 5.6113
_cell_length_c 6.9182
_cell_angle_alpha 103.80
_cell_angle_beta 90.00
_cell_angle_gamma 104.71
_symmetry_space_group_name_H-M 'P 1'
_symmetry_Int_Tables_number 1
_symmetry_space_group_name_Hall 'P 1'
loop_
_atom_site_label
_atom_site_fract_x
_atom_site_fract_y
_atom_site_fract_z
Mg1 0.3937 0.7872 0.2870
Ti1 0.9978 0.9954 0.9804
Ti2 0.6620 0.3237 0.3297
Ti3 0.0673 0.1347 0.6197
Ti4 0.3301 0.6599 0.6722
Ti5 0.7160 0.4324 0.9443
```

## Properties
- Formation energy from the elements: 9.43 kJ/mol of atoms
- Relative energy among the computed polymorphs: 0.16 eV/f.u.
- Raw total energy: -84.54 eV per formula unit

=====

(10)
Density functional theory data (meta-GGA SCAN) for a crystal of Li5Fe3Sn2O10 relaxed with PBEsol.

Cell and atoms, written as CIF:
```
data_Li5Fe3Sn2O10
_chemical_formula_sum 'Li5 Fe3 Sn2 O10'
_cell_length_a 5.0323
_cell_length_b 5.1491
_cell_length_c 8.0475
_cell_angle_alpha 71.66
_cell_angle_beta 72.25
_cell_angle_gamma 80.21
_symmetry_space_group_name_H-M 'P 1'
_symmetry_Int_Tables_number 1
_symmetry_space_group_name_Hall 'P 1'
loop_
_atom_site_label
_atom_site_fract_x
_atom_site_fract_y
_atom_site_fract_z
Li1 0.5116 0.7728 0.4045
Li2 0.4996 0.5697 0.8057
Li3 0.0000 0.5000 0.5000
Li4 0.5004 0.4303 0.1943
Li5 0.4884 0.2272 0.5955
Fe1 0.5000 0.0000 0.0000
Fe2 0.0058 0.2732 0.9064
Fe3 0.9942 0.7268 0.0936
Sn1 0.0089 0.8885 0.6969
Sn2 0.9911 0.1115 0.3031
O1 0.2690 0.9380 0.8524
O2 0.7483 0.6760 0.9434
O3 0.7653 0.8552 0.5383
O4 0.2569 0.7850 0.2257
O5 0.2354 0.5360 0.6683
O6 0.7646 0.4640 0.3317
O7 0.7431 0.2150 0.7743
O8 0.2347 0.1448 0.4617
O9 0.2517 0.3240 0.0566
O10 0.7310 0.0620 0.1476
```

## Properties
- E_form (uncorrected): -1.836 eV per atom
- Raw total energy: -237.22 eV per formula unit